(1)
# CsLa4Pb5

A relaxed structure of CsLa4Pb5 (PBE-GGA, Alexandria via LeMat-Bulk).

crystal system = tetragonal
VASP energy = -4.378 eV per atom
calculated formation energy = -468 meV per atom
V = 35.38 A^3/atom
space-group type = P4/mmm

Lattice parameters (Å, degrees): 4.3034 4.3034 19.1067 90.00 90.00 90.00
Closest atoms and distances in Å follow each position.
Atoms (fractional coordinates):
Cs 0.0000 0.0000 0.0000  8 Pb 4.11, 4 Cs 4.30, 2 La 4.32
La 0.0000 0.0000 0.2262  8 Pb 3.42-3.50, 1 La 3.49
La 0.0000 0.0000 0.4090  2 La 3.48-3.49, 8 Pb 3.50-3.52
La 0.0000 0.0000 0.5910  2 La 3.48-3.49, 8 Pb 3.50-3.52
La 0.0000 0.0000 0.7738  8 Pb 3.42-3.50, 1 La 3.49
Pb 0.5000 0.5000 0.1445  1 Pb 3.29, 4 La 3.42
Pb 0.5000 0.5000 0.3164  2 Pb 3.29-3.51, 8 La 3.50-3.52
Pb 0.5000 0.5000 0.5000  8 La 3.50, 2 Pb 3.51
Pb 0.5000 0.5000 0.6836  2 Pb 3.29-3.51, 8 La 3.50-3.52
Pb 0.5000 0.5000 0.8555  1 Pb 3.29, 4 La 3.42

---

(2)
# Ca6ZnSi2

A relaxed structure of Ca6ZnSi2 (PBE-GGA, Alexandria via LeMat-Bulk).

crystal system = orthorhombic
VASP energy = -2.976 eV per atom
V = 29.49 A^3/atom
uncorrected formation energy = -295 meV per atom
space-group type = Immm

Lattice parameters (Å, degrees): 8.8479 8.8479 8.8479 112.55 110.79 105.17
Closest atoms and distances in Å follow each position.
Atoms (fractional coordinates):
Ca 0.0169 0.8254 0.1915  3 Si 3.00-3.03
Ca 0.2440 0.5447 0.3008  2 Si 3.05-3.34, 2 Zn 3.27-3.38
Ca 0.2440 0.9432 0.6992  2 Si 3.05-3.34, 2 Zn 3.27-3.38
Ca 0.2752 0.3184 0.5936  3 Si 3.12-3.27, 1 Zn 3.29
Ca 0.2752 0.6816 0.9568  3 Si 3.12-3.27, 1 Zn 3.29
Ca 0.3662 0.1746 0.1915  3 Si 3.00-3.03
Ca 0.6338 0.8254 0.8085  3 Si 3.00-3.03
Ca 0.7248 0.3184 0.0432  3 Si 3.12-3.27, 1 Zn 3.29
Ca 0.7248 0.6816 0.4064  3 Si 3.12-3.27, 1 Zn 3.29
Ca 0.7560 0.0568 0.3008  2 Si 3.05-3.34, 2 Zn 3.27-3.38
Ca 0.7560 0.4553 0.6992  2 Si 3.05-3.34, 2 Zn 3.27-3.38
Ca 0.9831 0.1746 0.8085  3 Si 3.00-3.03
Zn 0.0000 0.5000 0.5000  8 Ca 3.27-3.29, 2 Si 3.52
Zn 0.5000 0.0000 0.5000  8 Ca 3.38-3.62
Si 0.0000 0.1414 0.1414  1 Si 2.78, 6 Ca 3.03-3.05
Si 0.0000 0.8586 0.8586  1 Si 2.78, 6 Ca 3.03-3.05
Si 0.3885 0.3885 0.0000  1 Si 2.40
Si 0.6115 0.6115 0.0000  1 Si 2.40

---

(3)
# NdTmNi2

A relaxed structure of NdTmNi2 (PBE-GGA, Alexandria via LeMat-Bulk).

crystal system = tetragonal
VASP energy = -5.528 eV per atom
calculated formation energy = -328 meV per atom
V = 19.80 A^3/atom
space-group type = P4/mmm

Lattice parameters (Å, degrees): 3.4121 3.4121 6.8043 90.00 90.00 90.00
Closest atoms and distances in Å follow each position.
Atoms (fractional coordinates):
Nd 0.0000 0.0000 0.0000  8 Ni 3.05, 2 Tm 3.40, 4 Nd 3.41
Tm 0.0000 0.0000 0.5000  8 Ni 2.86
Ni 0.5000 0.5000 0.2737  4 Tm 2.86, 4 Nd 3.05, 1 Ni 3.08
Ni 0.5000 0.5000 0.7263  4 Tm 2.86, 4 Nd 3.05, 1 Ni 3.08

---

(4)
# PmNd7Dy3

A relaxed structure of PmNd7Dy3 (PBE-GGA, Alexandria via LeMat-Bulk).

crystal system = monoclinic
VASP energy = -4.496 eV per atom
calculated formation energy = 225 meV per atom
V = 35.41 A^3/atom
space-group type = C2/m

Lattice parameters (Å, degrees): 7.8235 7.8235 6.4640 94.48 94.48 81.77
Closest atoms and distances in Å follow each position.
Atoms (fractional coordinates):
Pm 0.0000 0.0000 0.0000  4 Nd 3.23-3.47
Nd 0.0000 0.0000 0.5000  2 Pm 3.23, 2 Dy 3.39, 2 Nd 3.55
Nd 0.0763 0.4261 0.7603  6 Nd 3.35-3.72, 3 Dy 3.54-3.65
Nd 0.2644 0.2644 0.2869  5 Nd 3.35-3.56, 3 Dy 3.45-3.50, 1 Pm 3.47
Nd 0.4261 0.0763 0.7603  6 Nd 3.35-3.72, 3 Dy 3.54-3.65
Nd 0.5739 0.9237 0.2397  6 Nd 3.35-3.72, 3 Dy 3.54-3.65
Nd 0.7356 0.7356 0.7131  5 Nd 3.35-3.56, 3 Dy 3.45-3.50, 1 Pm 3.47
Nd 0.9237 0.5739 0.2397  6 Nd 3.35-3.72, 3 Dy 3.54-3.65
Dy 0.3309 0.6691 0.5000  7 Nd 3.39-3.63, 3 Dy 3.46-3.67
Dy 0.5000 0.5000 0.0000  6 Nd 3.50-3.65, 4 Dy 3.67
Dy 0.6691 0.3309 0.5000  7 Nd 3.39-3.63, 3 Dy 3.46-3.67

---

(5)
# P3HIr

A relaxed structure of P3HIr (PBE-GGA, Alexandria via LeMat-Bulk).

crystal system = cubic
VASP energy = -4.932 eV per atom
V = 11.90 A^3/atom
space-group type = Pm-3m

Lattice parameters (Å, degrees): 3.9044 3.9044 3.9044 90.00 90.00 90.00
Closest atoms and distances in Å follow each position.
Atoms (fractional coordinates):
P 0.0000 0.0000 0.5000  2 H 1.95
P 0.0000 0.5000 0.0000  2 H 1.95
P 0.5000 0.0000 0.0000  2 H 1.95
H 0.0000 0.0000 0.0000  6 P 1.95
Ir 0.5000 0.5000 0.5000  12 P 2.76

---

(6)
# VCrBiIr2

A relaxed structure of VCrBiIr2 (PBE-GGA, Alexandria via LeMat-Bulk).

crystal system = tetragonal
VASP energy = -5.868 eV per atom
calculated formation energy = 2201 meV per atom
V = 24.36 A^3/atom
space-group type = P4/mmm

Lattice parameters (Å, degrees): 4.9778 4.9778 4.9154 90.00 90.00 90.00
Closest atoms and distances in Å follow each position.
Atoms (fractional coordinates):
V 0.0000 0.0000 0.0000  8 Ir 3.50, 4 Cr 3.52
Cr 0.5000 0.5000 0.0000  2 Bi 2.46
Bi 0.5000 0.5000 0.5000  2 Cr 2.46, 4 Ir 2.49
Ir 0.0000 0.5000 0.5000  2 Bi 2.49
Ir 0.5000 0.0000 0.5000  2 Bi 2.49

---

(7)
# EuDyCdGa

A relaxed structure of EuDyCdGa (PBE-GGA, Alexandria via LeMat-Bulk).

crystal system = cubic
VASP energy = -5.102 eV per atom
calculated formation energy = -397 meV per atom
V = 26.27 A^3/atom
space-group type = F-43m

Lattice parameters (Å, degrees): 7.4910 7.4910 7.4910 90.00 90.00 90.00
Closest atoms and distances in Å follow each position.
Atoms (fractional coordinates):
Eu 0.0000 0.0000 0.0000  4 Cd 3.24, 4 Ga 3.24
Eu 0.0000 0.5000 0.5000  4 Cd 3.24, 4 Ga 3.24
Eu 0.5000 0.0000 0.5000  4 Cd 3.24, 4 Ga 3.24
Eu 0.5000 0.5000 0.0000  4 Cd 3.24, 4 Ga 3.24
Dy 0.0000 0.0000 0.5000  4 Ga 3.24, 4 Cd 3.24
Dy 0.0000 0.5000 0.0000  4 Ga 3.24, 4 Cd 3.24
Dy 0.5000 0.0000 0.0000  4 Ga 3.24, 4 Cd 3.24
Dy 0.5000 0.5000 0.5000  4 Ga 3.24, 4 Cd 3.24
Cd 0.2500 0.2500 0.2500  4 Dy 3.24, 4 Eu 3.24
Cd 0.2500 0.7500 0.7500  4 Dy 3.24, 4 Eu 3.24
Cd 0.7500 0.2500 0.7500  4 Dy 3.24, 4 Eu 3.24
Cd 0.7500 0.7500 0.2500  4 Dy 3.24, 4 Eu 3.24
Ga 0.2500 0.2500 0.7500  4 Dy 3.24, 4 Eu 3.24
Ga 0.2500 0.7500 0.2500  4 Dy 3.24, 4 Eu 3.24
Ga 0.7500 0.2500 0.2500  4 Dy 3.24, 4 Eu 3.24
Ga 0.7500 0.7500 0.7500  4 Dy 3.24, 4 Eu 3.24

---

(8)
# CaTbNd6Sm2

A relaxed structure of CaTbNd6Sm2 (PBE-GGA, Alexandria via LeMat-Bulk).

crystal system = monoclinic
VASP energy = -4.341 eV per atom
calculated formation energy = 127 meV per atom
V = 35.53 A^3/atom
space-group type = C2/c

Lattice parameters (Å, degrees): 9.0677 9.0677 9.9830 94.60 94.60 118.77
Closest atoms and distances in Å follow each position.
Atoms (fractional coordinates):
Ca 0.0982 0.9018 0.7500  8 Nd 3.60-4.02, 2 Sm 3.67
Ca 0.9018 0.0982 0.2500  8 Nd 3.60-4.02, 2 Sm 3.67
Tb 0.4765 0.5235 0.2500  4 Sm 3.45-3.52, 4 Nd 3.69-3.70
Tb 0.5235 0.4765 0.7500  4 Sm 3.45-3.52, 4 Nd 3.69-3.70
Nd 0.0016 0.2146 0.6236  3 Nd 3.29-3.46, 3 Sm 3.33-3.50, 1 Ca 3.63
Nd 0.0743 0.5290 0.1773  4 Nd 3.29-3.69, 1 Sm 3.52, 1 Ca 3.60, 1 Tb 3.69
Nd 0.2146 0.0016 0.1236  3 Nd 3.29-3.46, 3 Sm 3.33-3.50, 1 Ca 3.63
Nd 0.2632 0.6179 0.5522  5 Nd 3.44-3.84, 1 Sm 3.50, 1 Tb 3.70
Nd 0.3821 0.7368 0.9478  5 Nd 3.44-3.84, 1 Sm 3.50, 1 Tb 3.70
Nd 0.4710 0.9257 0.3227  4 Nd 3.29-3.69, 1 Sm 3.52, 1 Ca 3.60, 1 Tb 3.69
Nd 0.5290 0.0743 0.6773  4 Nd 3.29-3.69, 1 Sm 3.52, 1 Ca 3.60, 1 Tb 3.69
Nd 0.6179 0.2632 0.0522  5 Nd 3.44-3.84, 1 Sm 3.50, 1 Tb 3.70
Nd 0.7368 0.3821 0.4478  5 Nd 3.44-3.84, 1 Sm 3.50, 1 Tb 3.70
Nd 0.7854 0.9984 0.8764  3 Nd 3.29-3.46, 3 Sm 3.33-3.50, 1 Ca 3.63
Nd 0.9257 0.4710 0.8227  4 Nd 3.29-3.69, 1 Sm 3.52, 1 Ca 3.60, 1 Tb 3.69
Nd 0.9984 0.7854 0.3764  3 Nd 3.29-3.46, 3 Sm 3.33-3.50, 1 Ca 3.63
Sm 0.2009 0.3000 0.9577  5 Nd 3.33-3.52, 2 Tb 3.45-3.52, 1 Ca 3.67
Sm 0.3000 0.2009 0.4577  5 Nd 3.33-3.52, 2 Tb 3.45-3.52, 1 Ca 3.67
Sm 0.7000 0.7991 0.5423  5 Nd 3.33-3.52, 2 Tb 3.45-3.52, 1 Ca 3.67
Sm 0.7991 0.7000 0.0423  5 Nd 3.33-3.52, 2 Tb 3.45-3.52, 1 Ca 3.67

---

(9)
# Cs2TlBiH

A relaxed structure of Cs2TlBiH (PBE-GGA, Alexandria via LeMat-Bulk).

crystal system = monoclinic
VASP energy = -2.459 eV per atom
V = 41.07 A^3/atom
space-group type = P2_1/m

Lattice parameters (Å, degrees): 8.0574 5.8052 9.1811 90.00 106.99 90.00
Closest atoms and distances in Å follow each position.
Atoms (fractional coordinates):
Cs 0.1301 0.2500 0.3729  2 H 3.39, 1 Tl 3.71
Cs 0.2463 0.2500 0.9327  1 H 3.30
Cs 0.7537 0.7500 0.0673  1 H 3.30
Cs 0.8699 0.7500 0.6271  2 H 3.39, 1 Tl 3.71
Tl 0.4389 0.7500 0.3352  1 H 2.08
Tl 0.5611 0.2500 0.6648  1 H 2.08
Bi 0.3949 0.7500 0.6784  3 Tl 3.21-3.27
Bi 0.6051 0.2500 0.3216  3 Tl 3.21-3.27
H 0.1813 0.7500 0.2002  1 Tl 2.08
H 0.8187 0.2500 0.7998  1 Tl 2.08

---

(10)
# CoAgCl2

A relaxed structure of CoAgCl2 (PBE-GGA, Alexandria via LeMat-Bulk).

crystal system = orthorhombic
VASP energy = -3.418 eV per atom
V = 20.44 A^3/atom
uncorrected formation energy = -6 meV per atom
space-group type = Cmmm

Lattice parameters (Å, degrees): 3.2710 6.2477 8.0009 90.00 90.00 90.00
Closest atoms and distances in Å follow each position.
Atoms (fractional coordinates):
Co 0.0000 0.0000 0.0000  4 Cl 2.34
Co 0.5000 0.5000 0.0000  4 Cl 2.34
Ag 0.0000 0.0000 0.5000  4 Cl 2.85
Ag 0.5000 0.5000 0.5000  4 Cl 2.85
Cl 0.0000 0.5000 0.2087  2 Co 2.34
Cl 0.0000 0.5000 0.7913  2 Co 2.34
Cl 0.5000 0.0000 0.2087  2 Co 2.34
Cl 0.5000 0.0000 0.7913  2 Co 2.34

---

(11)
# BaLiCdAs

A relaxed structure of BaLiCdAs (PBE-GGA, Alexandria via LeMat-Bulk).

crystal system = tetragonal
VASP energy = -2.988 eV per atom
calculated formation energy = -637 meV per atom
V = 28.65 A^3/atom
space-group type = P4/nmm

Lattice parameters (Å, degrees): 4.4594 4.4594 11.5266 90.00 90.00 90.00
Closest atoms and distances in Å follow each position.
Atoms (fractional coordinates):
Ba 0.2500 0.2500 0.2234  4 As 3.34, 4 Li 3.41
Ba 0.7500 0.7500 0.7766  4 As 3.34, 4 Li 3.41
Li 0.2500 0.7500 0.0000  4 As 2.68
Li 0.7500 0.2500 0.0000  4 As 2.68
Cd 0.2500 0.7500 0.5000  4 Cd 3.15
Cd 0.7500 0.2500 0.5000  4 Cd 3.15
As 0.2500 0.2500 0.8713  4 Li 2.68
As 0.7500 0.7500 0.1287  4 Li 2.68

---

(12)
# Be3Co5Rh12

A relaxed structure of Be3Co5Rh12 (PBE-GGA, Alexandria via LeMat-Bulk).

crystal system = cubic
VASP energy = -6.166 eV per atom
calculated formation energy = 580 meV per atom
V = 15.51 A^3/atom
space-group type = Ia-3d

Lattice parameters (Å, degrees): 11.7260 11.7260 11.7260 109.47 109.47 109.47
Closest atoms and distances in Å follow each position.
Atoms (fractional coordinates):
Be 0.1250 0.2500 0.3750  4 Rh 2.23
Be 0.1250 0.3750 0.7500  4 Rh 2.23
Be 0.2500 0.3750 0.1250  4 Rh 2.23
Be 0.2500 0.8750 0.6250  4 Rh 2.23
Be 0.3750 0.1250 0.2500  4 Rh 2.23
Be 0.3750 0.7500 0.1250  4 Rh 2.23
Be 0.6250 0.2500 0.8750  4 Rh 2.23
Be 0.6250 0.8750 0.7500  4 Rh 2.23
Be 0.7500 0.1250 0.3750  4 Rh 2.23
Be 0.7500 0.6250 0.8750  4 Rh 2.23
Be 0.8750 0.6250 0.2500  4 Rh 2.23
Be 0.8750 0.7500 0.6250  4 Rh 2.23
Co 0.0000 0.0000 0.0000  6 Rh 2.35
Co 0.0000 0.0000 0.5000  6 Rh 2.35
Co 0.0000 0.5000 0.0000  6 Rh 2.35
Co 0.0000 0.5000 0.5000  6 Rh 2.35
Co 0.1250 0.7500 0.8750  4 Rh 2.30
Co 0.1250 0.8750 0.2500  4 Rh 2.30
Co 0.2500 0.1250 0.8750  4 Rh 2.30
Co 0.2500 0.6250 0.3750  4 Rh 2.30
Co 0.3750 0.2500 0.6250  4 Rh 2.30
Co 0.3750 0.6250 0.7500  4 Rh 2.30
Co 0.5000 0.0000 0.0000  6 Rh 2.35
Co 0.5000 0.0000 0.5000  6 Rh 2.35
Co 0.5000 0.5000 0.0000  6 Rh 2.35
Co 0.5000 0.5000 0.5000  6 Rh 2.35
Co 0.6250 0.3750 0.2500  4 Rh 2.30
Co 0.6250 0.7500 0.3750  4 Rh 2.30
Co 0.7500 0.3750 0.6250  4 Rh 2.30
Co 0.7500 0.8750 0.1250  4 Rh 2.30
Co 0.8750 0.1250 0.7500  4 Rh 2.30
Co 0.8750 0.2500 0.1250  4 Rh 2.30
Rh 0.0592 0.6261 0.3896  1 Be 2.23, 2 Co 2.30-2.35
Rh 0.0592 0.9331 0.6696  1 Be 2.23, 2 Co 2.30-2.35
Rh 0.0669 0.2365 0.1261  1 Be 2.23, 2 Co 2.30-2.35
Rh 0.0669 0.3304 0.9408  1 Be 2.23, 2 Co 2.30-2.35
Rh 0.1104 0.7365 0.6696  1 Be 2.23, 2 Co 2.30-2.35
Rh 0.1104 0.8739 0.4408  1 Be 2.23, 2 Co 2.30-2.35
Rh 0.1261 0.0669 0.2365  1 Be 2.23, 2 Co 2.30-2.35
Rh 0.1261 0.5592 0.8896  1 Be 2.23, 2 Co 2.30-2.35
Rh 0.1696 0.2365 0.6104  1 Be 2.23, 2 Co 2.30-2.35
Rh 0.1696 0.4331 0.5592  1 Be 2.23, 2 Co 2.30-2.35
Rh 0.2365 0.1261 0.0669  1 Be 2.23, 2 Co 2.30-2.35
Rh 0.2365 0.6104 0.1696  1 Be 2.23, 2 Co 2.30-2.35
Rh 0.2635 0.3304 0.8896  1 Be 2.23, 2 Co 2.30-2.35
Rh 0.2635 0.4331 0.3739  1 Be 2.23, 2 Co 2.30-2.35
Rh 0.3304 0.8896 0.2635  1 Be 2.23, 2 Co 2.30-2.35
Rh 0.3304 0.9408 0.0669  1 Be 2.23, 2 Co 2.30-2.35
Rh 0.3739 0.2635 0.4331  1 Be 2.23, 2 Co 2.30-2.35
Rh 0.3739 0.6104 0.9408  1 Be 2.23, 2 Co 2.30-2.35
Rh 0.3896 0.0592 0.6261  1 Be 2.23, 2 Co 2.30-2.35
Rh 0.3896 0.8304 0.7635  1 Be 2.23, 2 Co 2.30-2.35
Rh 0.4331 0.3739 0.2635  1 Be 2.23, 2 Co 2.30-2.35
Rh 0.4331 0.5592 0.1696  1 Be 2.23, 2 Co 2.30-2.35
Rh 0.4408 0.1104 0.8739  1 Be 2.23, 2 Co 2.30-2.35
Rh 0.4408 0.8304 0.5669  1 Be 2.23, 2 Co 2.30-2.35
Rh 0.5592 0.1696 0.4331  1 Be 2.23, 2 Co 2.30-2.35
Rh 0.5592 0.8896 0.1261  1 Be 2.23, 2 Co 2.30-2.35
Rh 0.5669 0.4408 0.8304  1 Be 2.23, 2 Co 2.30-2.35
Rh 0.5669 0.6261 0.7365  1 Be 2.23, 2 Co 2.30-2.35
Rh 0.6104 0.1696 0.2365  1 Be 2.23, 2 Co 2.30-2.35
Rh 0.6104 0.9408 0.3739  1 Be 2.23, 2 Co 2.30-2.35
Rh 0.6261 0.3896 0.0592  1 Be 2.23, 2 Co 2.30-2.35
Rh 0.6261 0.7365 0.5669  1 Be 2.23, 2 Co 2.30-2.35
Rh 0.6696 0.0592 0.9331  1 Be 2.23, 2 Co 2.30-2.35
Rh 0.6696 0.1104 0.7365  1 Be 2.23, 2 Co 2.30-2.35
Rh 0.7365 0.5669 0.6261  1 Be 2.23, 2 Co 2.30-2.35
Rh 0.7365 0.6696 0.1104  1 Be 2.23, 2 Co 2.30-2.35
Rh 0.7635 0.3896 0.8304  1 Be 2.23, 2 Co 2.30-2.35
Rh 0.7635 0.8739 0.9331  1 Be 2.23, 2 Co 2.30-2.35
Rh 0.8304 0.5669 0.4408  1 Be 2.23, 2 Co 2.30-2.35
Rh 0.8304 0.7635 0.3896  1 Be 2.23, 2 Co 2.30-2.35
Rh 0.8739 0.4408 0.1104  1 Be 2.23, 2 Co 2.30-2.35
Rh 0.8739 0.9331 0.7635  1 Be 2.23, 2 Co 2.30-2.35
Rh 0.8896 0.1261 0.5592  1 Be 2.23, 2 Co 2.30-2.35
Rh 0.8896 0.2635 0.3304  1 Be 2.23, 2 Co 2.30-2.35
Rh 0.9331 0.6696 0.0592  1 Be 2.23, 2 Co 2.30-2.35
Rh 0.9331 0.7635 0.8739  1 Be 2.23, 2 Co 2.30-2.35
Rh 0.9408 0.0669 0.3304  1 Be 2.23, 2 Co 2.30-2.35
Rh 0.9408 0.3739 0.6104  1 Be 2.23, 2 Co 2.30-2.35